VASP calculation (PBE with a Hubbard U) on a geometry-optimized RbNiPtF6 structure.

The structure in POSCAR format:
```
RbNiPtF6
1.0
2.801 -4.710 0.000
2.801 4.710 0.000
-0.083 0.000 6.101
Rb Ni Pt F
1 1 1 6
Direct
0.000 0.000 0.000 Rb
0.332 0.668 0.500 Ni
0.668 0.332 0.500 Pt
0.037 0.642 0.299 F
0.358 0.963 0.701 F
0.367 0.356 0.327 F
0.641 0.002 0.330 F
0.644 0.633 0.673 F
0.998 0.359 0.670 F
```

Calculated values
- Spin magnetization: 0.333 μB/atom
- Volume: 17.89 Å³/atom
- Final energy: -4.196 eV/atom